1.
4
Lattice="3.661 0.000 0.000 0.000 5.015 0.024 0.000 -1.849 4.661" Properties=species:S:1:pos:R:3 comment="LaTcHg2 (meta-GGA SCAN, single point on PBEsol structure)" dos_at_fermi_per_ev_fu=2.89 volume_a3_per_atom=21.4 relative_energy_ev_per_fu=0.779 magnetic_moment_mub_per_fu=0.00 e_form_mev_per_atom=257.1 energy_ev_per_atom=-53.3671 pbc="T T T"
Hg 0.000 2.507 0.012
Hg 0.000 -0.925 2.331
Tc 1.831 1.583 2.343
La 1.831 0.000 0.000



2.
8
Lattice="4.773 0.000 0.000 0.000 4.773 0.000 -2.387 -2.387 4.572" Properties=species:S:1:pos:R:3 comment="LiNbN2 (meta-GGA SCAN, single point on PBEsol structure)" dos_at_fermi_per_ev_fu=0.00 volume_a3_per_atom=13.0 formation_energy_uncorrected_mev_per_atom=-995 relative_energy_ev_per_fu=0.321 magnetic_moment_mub_per_fu=0.00 energy_ev_per_atom=-14.5203 pbc="T T T"
Nb 0.000 2.387 2.286
Nb 0.000 0.000 0.000
N 3.735 1.193 1.143
N -1.193 -1.348 3.429
N 1.193 1.348 3.429
N 1.038 3.580 1.143
Li 2.387 0.000 2.286
Li 2.387 2.387 0.000



3.
5
Lattice="-2.003 0.994 3.133 0.590 -3.501 1.488 5.156 2.979 -0.013" Properties=species:S:1:pos:R:3 comment="TmMn2Ge2 (meta-GGA SCAN, single point on PBEsol structure)" dos_at_fermi_per_ev_fu=2.47 volume_a3_per_atom=15.7 magnetic_moment_mub_per_fu=4.46 e_form_mev_per_atom=-620.8 energy_ev_per_atom=-25.9243 pbc="T T T"
Tm 0.000 0.000 0.000
Mn 1.223 1.360 2.715
Mn 2.520 -0.888 1.893
Ge 3.399 1.318 1.755
Ge 0.344 -0.846 2.853



4.
8
Lattice="-4.193 1.829 0.511 -1.530 -4.572 3.814 2.517 5.148 2.226" Properties=species:S:1:pos:R:3 comment="HoAl3 (meta-GGA SCAN, single point on PBEsol structure)" dos_at_fermi_per_ev_fu=1.58 volume_a3_per_atom=18.8 magnetic_moment_mub_per_fu=0.10 e_form_mev_per_atom=-448.0 energy_ev_per_atom=-18.5088 pbc="T T T"
Al -2.682 1.091 5.186
Al -4.069 -1.745 3.960
Al -0.524 1.314 1.365
Al 0.020 1.631 4.693
Al 0.863 4.150 2.592
Al -3.226 0.774 1.859
Ho -1.977 3.280 3.139
Ho -1.229 -0.875 3.413



5.
5
Lattice="4.584 0.000 0.000 0.000 4.686 0.000 0.000 0.000 4.686" Properties=species:S:1:pos:R:3 comment="Al2GeIrPd (meta-GGA SCAN, single point on PBEsol structure)" dos_at_fermi_per_ev_fu=1.46 volume_a3_per_atom=20.1 magnetic_moment_mub_per_fu=0.00 e_form_mev_per_atom=-23.3 energy_ev_per_atom=-27.7163 pbc="T T T"
Pd 2.292 2.343 2.343
Ir 0.000 0.000 0.000
Al 0.000 2.343 0.000
Al 0.000 0.000 2.343
Ge 2.292 0.000 0.000



6.
4
Lattice="-1.995 -0.844 2.091 0.859 -0.286 2.871 -2.226 7.246 2.967" Properties=species:S:1:pos:R:3 comment="MgSi2Tc (meta-GGA SCAN, single point on PBEsol structure)" dos_at_fermi_per_ev_fu=1.84 volume_a3_per_atom=15.6 formation_energy_uncorrected_mev_per_atom=-100 magnetic_moment_mub_per_fu=0.00 energy_ev_per_atom=-15.1163 pbc="T T T"
Si -0.899 1.771 2.024
Si -2.463 4.345 5.906
Tc -1.681 3.058 3.965
Mg 0.000 0.000 0.000



Please write out number 2 again, unchanged.
8
Lattice="4.773 0.000 0.000 0.000 4.773 0.000 -2.387 -2.387 4.572" Properties=species:S:1:pos:R:3 comment="LiNbN2 (meta-GGA SCAN, single point on PBEsol structure)" dos_at_fermi_per_ev_fu=0.00 volume_a3_per_atom=13.0 formation_energy_uncorrected_mev_per_atom=-995 relative_energy_ev_per_fu=0.321 magnetic_moment_mub_per_fu=0.00 energy_ev_per_atom=-14.5203 pbc="T T T"
Nb 0.000 2.387 2.286
Nb 0.000 0.000 0.000
N 3.735 1.193 1.143
N -1.193 -1.348 3.429
N 1.193 1.348 3.429
N 1.038 3.580 1.143
Li 2.387 0.000 2.286
Li 2.387 2.387 0.000